Here is a relaxed NbFe2Ni2 crystal from the Alexandria database. Energies are from GGA-PBE.

extended XYZ file:
```
10
Lattice="-6.092 -3.424 -0.239 3.353 -5.834 -1.900 0.272 -0.659 2.503" Properties=species:S:1:pos:R:3 pbc="T T T"
Ni 0.647 -6.398 -1.755
Ni -3.245 -6.639 -1.395
Ni -3.385 -2.859 -0.384
Ni 0.506 -2.618 -0.744
Nb 0.000 0.000 0.000
Nb -1.369 -4.629 -1.070
Fe 1.346 -4.825 -0.064
Fe -1.168 -7.464 -0.485
Fe -3.812 -5.091 0.427
Fe -1.299 -2.452 0.848
```

Summary:
density of states at the Fermi level: 1.3233 states/eV per atom
spin magnetization: 5.1 μB per formula unit
energy above the lowest structure with this stoichiometry: 0.000 eV per formula unit